Record 1
Compound: Tl7In
Source: Alexandria
Functional: meta-GGA SCAN
Structure: PBEsol geometry

Cell: 6.788 6.788 6.788 Å, 60.00 60.00 60.00°
Positions (direct):
1 Tl 0.000 0.000 0.000
2 Tl 0.000 0.000 0.500
3 Tl 0.000 0.500 0.000
4 Tl 0.000 0.500 0.500
5 Tl 0.500 0.000 0.000
6 Tl 0.500 0.000 0.500
7 Tl 0.500 0.500 0.000
8 In 0.500 0.500 0.500

Results
The calculation puts the volume at 221.2 Å³ per cell. The electronic total energy is -67.454 eV per atom. The formation energy comes out at 3.2 kJ/mol of atoms.

=====

Record 2
Compound: Tl2In
Source: Alexandria
Functional: meta-GGA SCAN
Structure: PBEsol geometry

Cell: 6.456 6.456 7.965 Å, 103.40 103.40 30.62°
Positions (direct):
1 Tl 0.137 0.137 0.027
2 Tl 0.191 0.191 0.637
3 Tl 0.809 0.809 0.363
4 Tl 0.863 0.863 0.973
5 In 0.469 0.469 0.690
6 In 0.531 0.531 0.310

Results
The calculation puts the volume at 164.1 Å³ per cell. The electronic total energy is -59.326 eV per atom. The formation energy comes out at 4.0 kJ/mol of atoms.

=====

Record 3
Compound: Tl2In
Source: Alexandria
Functional: meta-GGA SCAN
Structure: PBEsol geometry

Cell: 9.187 9.187 5.369 Å, 90.00 90.00 158.74°
Positions (direct):
1 Tl 0.055 0.945 0.750
2 Tl 0.279 0.721 0.250
3 Tl 0.721 0.279 0.750
4 Tl 0.945 0.055 0.250
5 In 0.388 0.612 0.750
6 In 0.612 0.388 0.250

Results
The calculation puts the volume at 164.3 Å³ per cell. The electronic total energy is -59.323 eV per atom. The formation energy comes out at 4.3 kJ/mol of atoms.

=====

Record 4
Compound: TlIn4
Source: Alexandria
Functional: meta-GGA SCAN
Structure: PBEsol geometry

Cell: 5.701 5.701 5.701 Å, 100.39 100.39 129.74°
Positions (direct):
1 Tl 0.000 0.000 0.000
2 In 0.200 0.404 0.604
3 In 0.404 0.800 0.205
4 In 0.596 0.200 0.795
5 In 0.800 0.596 0.396

Results
The calculation puts the volume at 129.0 Å³ per cell. The electronic total energy is -41.115 eV per atom. The formation energy comes out at 6.4 kJ/mol of atoms.